LaAg3I after structural relaxation. Source: Alexandria via LeMat-Bulk, functional PBE.

Output
N(E_F) ... 1.031 states/eV/atom
Magnetic moment ... 0.000 μB/atom
E ... -2.3960 eV/atom
Uncorrected formation energy ... 3.1 eV/f.u.

Cell: 5.387 5.387 5.387 Å, 90.00 90.00 90.00°
Positions (direct):
Ag 0.000 0.000 0.500
Ag 0.500 0.000 0.000
Ag 0.000 0.500 0.000
La 0.500 0.500 0.500
I 0.000 0.000 0.000